[1]
A relaxed NaBeAlAu6 crystal, computed with GGA-PBE.

a b c (Å): 7.6111 8.5132 8.1082
angles (deg): 121.67 117.99 90.00
Fractional coordinates of all 18 atoms:
Al 0.0000 0.0000 0.5000
Al 0.5000 0.0000 0.5000
Au 0.3845 0.6293 0.2471
Au 0.8626 0.1178 0.2471
Au 0.1374 0.3707 0.7529
Au 0.6155 0.3707 0.7529
Au 0.3845 0.1178 0.2471
Au 0.5825 0.3325 0.1651
Au 0.8626 0.6293 0.2471
Au 0.1042 0.8542 0.2085
Au 0.4175 0.6675 0.8349
Au 0.8958 0.1458 0.7915
Au 0.6155 0.8822 0.7529
Au 0.1374 0.8822 0.7529
Be 0.5000 0.5000 0.0000
Be 0.5000 0.0000 0.0000
Na 0.1705 0.4205 0.3409
Na 0.8295 0.5795 0.6591

## Properties
Formation energy from the elements, meV per atom: -88
Space group: Imma (74)
N(E_F), states/eV per cell: 5.26
Calculated volume, Å³/f.u.: 186.51

[2]
A relaxed La3TbSm2 crystal, computed with GGA-PBE.

a b c (Å): 11.3061 8.9617 8.9617
angles (deg): 46.35 50.89 50.89
Fractional coordinates of all 12 atoms:
La 0.5000 0.7500 0.2500
La 0.7634 0.9866 0.4866
La 0.2366 0.0134 0.5134
La 0.7634 0.4866 0.9866
La 0.2366 0.5134 0.0134
La 0.5000 0.2500 0.7500
Tb 0.0000 0.0000 0.0000
Tb 0.0000 0.5000 0.5000
Sm 0.0509 0.7027 0.7027
Sm 0.4563 0.7973 0.7973
Sm 0.9491 0.2973 0.2973
Sm 0.5437 0.2027 0.2027

## Properties
Relative energy among the computed polymorphs, eV/atom: 0.302
Formation energy from the elements, meV per atom: 536
Space group: Ibam (72)
N(E_F), states/eV per cell: 20.66
Calculated volume, Å³/f.u.: 238.98

[3]
A relaxed NdEr2ThSe4 crystal, computed with GGA-PBE.

a b c (Å): 4.0541 7.3301 7.0634
angles (deg): 71.39 90.00 90.00
Fractional coordinates of all 8 atoms:
Th 0.0000 0.5000 0.5000
Er 0.0000 0.0000 0.0000
Er 0.5000 0.0000 0.5000
Se 0.5000 0.2316 0.7561
Se 0.0000 0.2316 0.2566
Se 0.0000 0.7684 0.7434
Se 0.5000 0.7684 0.2439
Nd 0.5000 0.5000 0.0000

## Properties
Energy, eV/atom: -6.094
Space group: P2/m (10)
N(E_F), states/eV per cell: 4.20
Calculated volume, Å³/f.u.: 198.93

[4]
A relaxed HgSbPt4 crystal, computed with GGA-PBE.

a b c (Å): 5.4053 5.4053 5.4053
angles (deg): 60.00 60.00 60.00
Fractional coordinates of all 6 atoms:
Pt 0.3748 0.3748 0.3748
Pt 0.3748 0.8756 0.3748
Pt 0.3748 0.3748 0.8756
Pt 0.8756 0.3748 0.3748
Sb 0.7500 0.7500 0.7500
Hg 0.0000 0.0000 0.0000

## Properties
Energy, eV/atom: -4.765
Space group: F-43m (216)
N(E_F), states/eV per cell: 5.30
Calculated volume, Å³/f.u.: 111.67

[5]
A relaxed Rb2LiCaI5 crystal, computed with GGA-PBE.

a b c (Å): 4.7481 11.0167 15.3903
angles (deg): 90.00 90.00 102.44
Fractional coordinates of all 18 atoms:
Rb 0.1261 0.2522 0.3185
Rb 0.1078 0.2156 0.6784
Rb 0.8739 0.7478 0.8185
Rb 0.8922 0.7844 0.1784
I 0.7132 0.4264 0.1620
I 0.2868 0.5736 0.6620
I 0.5021 0.0042 0.7845
I 0.0600 0.1201 0.0340
I 0.4979 0.9958 0.2845
I 0.6934 0.3868 0.8830
I 0.6502 0.3005 0.5036
I 0.3498 0.6995 0.0036
I 0.3066 0.6132 0.3830
I 0.9400 0.8799 0.5340
Li 0.5654 0.1307 0.9371
Li 0.4346 0.8693 0.4371
Ca 0.7936 0.5872 0.5229
Ca 0.2064 0.4128 0.0229

## Properties
Energy, eV/atom: -2.990
Space group: Cmc2_1 (36)
N(E_F), states/eV per cell: 0.00
Calculated volume, Å³/f.u.: 393.07

[6]
A relaxed LaMoSeCl2 crystal, computed with GGA-PBE.

a b c (Å): 5.4497 4.7104 5.4497
angles (deg): 90.00 90.00 90.00
Last column: magnetic moment on the atom in μB.
Fractional coordinates of all 5 atoms:
Se 0.0000 0.0000 0.0000  -0.12
Mo 0.0000 0.5000 0.0000  1.73
Cl 0.5000 0.0000 0.0000  0.02
Cl 0.0000 0.0000 0.5000  0.00
La 0.5000 0.5000 0.5000  -0.14

## Properties
Energy, eV/atom: -4.405
Space group: P4/mmm (123)
N(E_F), states/eV per cell: 4.51
Calculated volume, Å³/f.u.: 139.89

[7]
A relaxed Ru4Br crystal, computed with GGA-PBE.

a b c (Å): 4.8014 4.8014 4.8014
angles (deg): 99.62 99.62 131.73
Fractional coordinates of all 5 atoms:
Ru 0.8219 0.3946 0.2165
Ru 0.1781 0.6054 0.7835
Ru 0.3946 0.1781 0.5726
Ru 0.6054 0.8219 0.4274
Br 0.0000 0.0000 0.0000

## Properties
Relative energy among the computed polymorphs, eV/atom: 0.000
Space group: I4/m (87)
N(E_F), states/eV per cell: 5.16
Calculated volume, Å³/f.u.: 75.39

[8]
A relaxed YSc2ReMo crystal, computed with GGA-PBE.

a b c (Å): 5.0660 4.8202 5.0660
angles (deg): 90.00 90.00 90.00
Fractional coordinates of all 5 atoms:
Re 0.0000 0.0000 0.0000
Mo 0.0000 0.5000 0.0000
Sc 0.0000 0.0000 0.5000
Sc 0.5000 0.0000 0.0000
Y 0.5000 0.5000 0.5000

## Properties
Formation energy from the elements, meV per atom: 454
Space group: P4/mmm (123)
N(E_F), states/eV per cell: 6.89
Calculated volume, Å³/f.u.: 123.71

[9]
A relaxed Ta2SiHg crystal, computed with GGA-PBE.

a b c (Å): 4.3968 2.9150 5.5987
angles (deg): 77.34 90.00 90.00
Fractional coordinates of all 4 atoms:
Si 0.5000 0.5743 0.7787
Hg 0.0000 0.6709 0.4911
Ta 0.0000 0.9869 0.9691
Ta 0.5000 0.2679 0.2611

## Properties
Energy, eV/atom: -7.178
Space group: Pm (6)
N(E_F), states/eV per cell: 1.28
Calculated volume, Å³/f.u.: 70.01

[10]
A relaxed Er3Tm5 crystal, computed with GGA-PBE.

a b c (Å): 3.5649 5.5193 12.3457
angles (deg): 90.00 90.00 90.00
Fractional coordinates of all 8 atoms:
Tm 0.0000 0.0000 0.9593
Tm 0.0000 0.5000 0.2909
Tm 0.0000 0.0000 0.4577
Tm 0.5000 0.5000 0.0420
Tm 0.5000 0.0000 0.2085
Er 0.5000 0.5000 0.5407
Er 0.0000 0.5000 0.7920
Er 0.5000 0.0000 0.7088

## Properties
Formation energy from the elements, meV per atom: -4
Space group: Pmm2 (25)
N(E_F), states/eV per cell: 12.64
Calculated volume, Å³/f.u.: 242.91

[11]
A relaxed NdIO4F crystal, computed with GGA-PBE.

a b c (Å): 6.1397 6.1397 6.8399
angles (deg): 82.32 82.32 74.96
Last column: magnetic moment on the atom in μB.
Fractional coordinates of all 14 atoms:
I 0.6406 0.6406 0.6808  0.12
I 0.3594 0.3594 0.3192  0.12
Nd 0.1949 0.1949 0.8884  0.02
Nd 0.8051 0.8051 0.1116  0.02
O 0.5552 0.5552 0.2476  0.26
O 0.4863 0.1326 0.1543  0.04
O 0.2027 0.2027 0.5262  0.34
O 0.8674 0.5137 0.8457  0.04
O 0.1326 0.4863 0.1543  0.04
O 0.5137 0.8674 0.8457  0.04
O 0.7973 0.7973 0.4738  0.34
O 0.4448 0.4448 0.7524  0.26
F 0.0298 0.0298 0.1742  0.02
F 0.9702 0.9702 0.8258  0.02

## Properties
Energy, eV/atom: -5.641
Space group: C2/m (12)
Calculated volume, Å³/f.u.: 122.73

[12]
A relaxed K3MgCl crystal, computed with GGA-PBE.

a b c (Å): 6.1794 6.1794 6.1794
angles (deg): 90.00 90.00 90.00
Fractional coordinates of all 5 atoms:
K 0.0000 0.0000 0.5000
K 0.0000 0.5000 0.0000
K 0.5000 0.0000 0.0000
Mg 0.5000 0.5000 0.5000
Cl 0.0000 0.0000 0.0000

## Properties
Relative energy among the computed polymorphs, eV/atom: 0.000
Space group: Pm-3m (221)
N(E_F), states/eV per cell: 3.23
Calculated volume, Å³/f.u.: 235.96

[13]
A relaxed LaNd5Ga6 crystal, computed with GGA-PBE.

a b c (Å): 5.2426 7.4157 8.3043
angles (deg): 90.00 71.60 90.00
Fractional coordinates of all 12 atoms:
Nd 0.3353 0.5000 0.3294
Nd 0.6647 0.5000 0.6706
Nd 0.6670 0.0000 0.6660
Nd 0.3330 0.0000 0.3340
Nd 0.0000 0.5000 0.0000
La 0.0000 0.0000 0.0000
Ga 0.8311 0.2537 0.3377
Ga 0.8312 0.7463 0.3377
Ga 0.5000 0.7474 0.0000
Ga 0.1689 0.7463 0.6623
Ga 0.5000 0.2526 0.0000
Ga 0.1688 0.2537 0.6623

## Properties
Formation energy from the elements, meV per atom: -556
Space group: Cmmm (65)
N(E_F), states/eV per cell: 6.06
Calculated volume, Å³/f.u.: 306.34

[14]
A relaxed ZrCrSe2 crystal, computed with GGA-PBE.

a b c (Å): 4.6758 4.6758 4.6758
angles (deg): 60.00 60.00 60.00
Last column: magnetic moment on the atom in μB.
Fractional coordinates of all 4 atoms:
Zr 0.5000 0.5000 0.5000  -0.24
Se 0.7500 0.7500 0.7500  -0.05
Se 0.2500 0.2500 0.2500  -0.05
Cr 0.0000 0.0000 0.0000  3.22

## Properties
Relative energy among the computed polymorphs, eV/atom: 0.269
Space group: Fm-3m (225)
N(E_F), states/eV per cell: 3.90
Calculated volume, Å³/f.u.: 72.28

[15]
A relaxed VPd2Pt2 crystal, computed with GGA-PBE.

a b c (Å): 6.4735 6.4735 3.9351
angles (deg): 90.00 90.00 90.00
Last column: magnetic moment on the atom in μB.
Fractional coordinates of all 10 atoms:
Pt 0.1434 0.3566 0.0000  -0.03
Pt 0.8566 0.6434 0.0000  -0.03
Pt 0.6434 0.1434 0.0000  -0.03
Pt 0.3566 0.8566 0.0000  -0.03
V 0.5000 0.5000 0.0000  1.21
V 0.0000 0.0000 0.0000  1.21
Pd 0.1588 0.6588 0.5000  -0.01
Pd 0.3412 0.1588 0.5000  -0.01
Pd 0.8412 0.3412 0.5000  -0.01
Pd 0.6588 0.8412 0.5000  -0.01

## Properties
Formation energy from the elements, meV per atom: -10
Space group: P4/mbm (127)
N(E_F), states/eV per cell: 12.10
Calculated volume, Å³/f.u.: 82.45

[16]
A relaxed Ce2SmSb3Rh4 crystal, computed with GGA-PBE.

a b c (Å): 4.3941 4.3941 11.5497
angles (deg): 90.00 90.00 90.00
Last column: magnetic moment on the atom in μB.
Fractional coordinates of all 10 atoms:
Rh 0.5000 0.0000 0.6499  -0.03
Rh 0.5000 0.5000 0.0000  0.11
Rh 0.0000 0.0000 0.0000  0.10
Rh 0.0000 0.5000 0.3501  -0.03
Sm 0.5000 0.5000 0.5000  0.04
Sb 0.0000 0.5000 0.1285  0.00
Sb 0.5000 0.0000 0.8715  0.00
Sb 0.0000 0.0000 0.5000  -0.01
Ce 0.5000 0.0000 0.2281  0.74
Ce 0.0000 0.5000 0.7719  0.74

## Properties
Energy, eV/atom: -6.628
Space group: P-4m2 (115)
N(E_F), states/eV per cell: 17.62
Calculated volume, Å³/f.u.: 223.01

[17]
A relaxed Ta4BrCl crystal, computed with GGA-PBE.

a b c (Å): 5.6540 5.6540 5.6540
angles (deg): 60.00 60.00 60.00
Fractional coordinates of all 6 atoms:
Ta 0.3717 0.3717 0.3717
Ta 0.3717 0.3717 0.8849
Ta 0.8849 0.3717 0.3717
Ta 0.3717 0.8849 0.3717
Cl 0.0000 0.0000 0.0000
Br 0.7500 0.7500 0.7500

## Properties
Energy, eV/atom: -7.347
Space group: F-43m (216)
N(E_F), states/eV per cell: 5.61
Calculated volume, Å³/f.u.: 127.80

[18]
A relaxed LaPm4Er2 crystal, computed with GGA-PBE.

a b c (Å): 11.5122 9.0779 9.0779
angles (deg): 44.76 50.65 50.65
Fractional coordinates of all 14 atoms:
Er 0.5000 0.5000 0.5000
Er 0.5000 0.0000 0.0000
Er 0.9714 0.2786 0.7786
Er 0.0286 0.7214 0.2214
La 0.0000 0.5000 0.0000
La 0.5000 0.5000 0.0000
Pm 0.2398 0.2291 0.2913
Pm 0.2398 0.7913 0.7291
Pm 0.7602 0.2087 0.2709
Pm 0.8480 0.1454 0.6454
Pm 0.7602 0.7709 0.7087
Pm 0.3612 0.1454 0.6454
Pm 0.1520 0.8546 0.3546
Pm 0.6388 0.8546 0.3546

## Properties
Formation energy from the elements, meV per atom: 225
Space group: Imma (74)
N(E_F), states/eV per cell: 19.74
Calculated volume, Å³/f.u.: 243.11

[19]
A relaxed Th3ScGe5 crystal, computed with GGA-PBE.

a b c (Å): 6.0421 8.9305 8.9305
angles (deg): 120.00 90.00 90.00
Fractional coordinates of all 18 atoms:
Th 0.7500 0.6162 0.6162
Th 0.7500 0.3838 0.0000
Th 0.7500 0.0000 0.3838
Th 0.2500 0.3838 0.3838
Th 0.2500 0.6162 0.0000
Th 0.2500 0.0000 0.6162
Ge 0.7500 0.7346 0.0000
Ge 0.5000 0.3333 0.6667
Ge 0.2500 0.7346 0.7346
Ge 0.2500 0.0000 0.2654
Ge 0.7500 0.2654 0.2654
Ge 0.0000 0.6667 0.3333
Ge 0.2500 0.2654 0.0000
Ge 0.5000 0.6667 0.3333
Ge 0.7500 0.0000 0.7346
Ge 0.0000 0.3333 0.6667
Sc 0.0000 0.0000 0.0000
Sc 0.5000 0.0000 0.0000

## Properties
Formation energy from the elements, meV per atom: -727
Space group: P6_3/mcm (193)
N(E_F), states/eV per cell: 11.79
Calculated volume, Å³/f.u.: 208.66

[20]
A relaxed CePm6Sm10 crystal, computed with GGA-PBE.

a b c (Å): 6.9630 9.8464 9.8464
angles (deg): 120.00 90.00 90.00
Last column: magnetic moment on the atom in μB.
Fractional coordinates of all 17 atoms:
Sm 0.5000 0.6667 0.3333  0.01
Sm 0.5000 0.3333 0.6667  0.01
Sm 0.1883 0.0000 0.7312  0.00
Sm 0.8117 0.7312 0.7312  0.00
Sm 0.8117 0.2688 0.0000  0.00
Sm 0.1883 0.7312 0.0000  0.00
Sm 0.0000 0.6667 0.3333  -0.01
Sm 0.1883 0.2688 0.2688  0.00
Sm 0.0000 0.3333 0.6667  -0.01
Sm 0.8117 0.0000 0.2688  0.00
Pm 0.7018 0.6216 0.0000  0.00
Pm 0.2982 0.6216 0.6216  0.00
Pm 0.2982 0.3784 0.0000  0.00
Pm 0.7018 0.0000 0.6216  0.00
Pm 0.7018 0.3784 0.3784  0.00
Pm 0.2982 0.0000 0.3784  0.00
Ce 0.5000 0.0000 0.0000  0.82

## Properties
Formation energy from the elements, meV per atom: 145
Space group: P-31m (162)
N(E_F), states/eV per cell: 28.10
Calculated volume, Å³/f.u.: 584.63

[21]
A relaxed Pr6HoEr2 crystal, computed with GGA-PBE.

a b c (Å): 3.6836 10.0875 10.0875
angles (deg): 56.00 90.00 90.00
Fractional coordinates of all 9 atoms:
Pr 0.0000 0.8411 0.4904
Pr 0.5000 0.6842 0.3158
Pr 0.0000 0.5096 0.1589
Pr 0.0000 0.1589 0.5096
Pr 0.5000 0.3158 0.6842
Pr 0.0000 0.4904 0.8411
Ho 0.0000 0.0000 0.0000
Er 0.5000 0.8246 0.8246
Er 0.5000 0.1754 0.1754

## Properties
Relative energy among the computed polymorphs, eV/atom: 0.000
Formation energy from the elements, meV per atom: 129
Space group: Cmmm (65)
N(E_F), states/eV per cell: 12.38
Calculated volume, Å³/f.u.: 310.77

[22]
A relaxed AgSbAs2Se crystal, computed with GGA-PBE.

a b c (Å): 4.9834 4.9834 5.1236
angles (deg): 90.00 90.00 90.00
Fractional coordinates of all 5 atoms:
As 0.0000 0.5000 0.0000
As 0.5000 0.0000 0.0000
Sb 0.5000 0.5000 0.5000
Se 0.0000 0.0000 0.5000
Ag 0.0000 0.0000 0.0000

## Properties
Relative energy among the computed polymorphs, eV/atom: 0.000
Space group: P4/mmm (123)
N(E_F), states/eV per cell: 6.88
Calculated volume, Å³/f.u.: 127.24

[23]
A relaxed AcUN3 crystal, computed with GGA-PBE.

a b c (Å): 3.6578 7.0193 7.6118
angles (deg): 104.96 90.00 105.10
Fractional coordinates of all 10 atoms:
U 0.1644 0.3289 0.8277
U 0.8356 0.6711 0.1723
N 0.3065 0.6130 0.3317
N 0.6769 0.3538 0.0204
N 0.9887 0.9774 0.2623
N 0.0113 0.0225 0.7377
N 0.6935 0.3870 0.6683
N 0.3231 0.6462 0.9796
Ac 0.3888 0.7775 0.6771
Ac 0.6112 0.2225 0.3229

## Properties
Energy, eV/atom: -9.276
Space group: C2/m (12)
Calculated volume, Å³/f.u.: 90.91